{"formula": "GaIrAu3", "functional": "PBE-GGA", "state": "relaxed", "lattice": [[4.7139, 0.0000, 0.0000], [0.0000, 4.7139, 0.0000], [0.0000, 0.0000, 4.7139]], "species": ["Ga", "Ir", "Au", "Au", "Au"], "frac_coords": [[0.0000, 0.0000, 0.0000], [0.5000, 0.5000, 0.5000], [0.0000, 0.0000, 0.5000], [0.0000, 0.5000, 0.0000], [0.5000, 0.0000, 0.0000]], "polymorph_energy_kj_per_mol_fu": 101.9, "sg": "No. 221", "ef_ev_per_atom": 1.06, "density_g_cm3": 13.52, "energy_ev_per_atom": -3.287}